## RbLiTe3 (GGA-PBE)

Data for a relaxed RbLiTe3 crystal.

Cell: 5.388 5.388 5.388 Å, 90.00 90.00 90.00°
Sites, in units of the cell vectors:
Te1 0.000 0.500 0.000
Te2 0.000 0.000 0.500
Te3 0.500 0.000 0.000
Rb1 0.500 0.500 0.500
Li1 0.000 0.000 0.000

Output
Polymorph energy (0 for the lowest one): 0.000 eV per atom
Formation energy (no corrections): -29.43 kJ per mole of atoms
Size of the total moment: 0.0 μB per formula unit